Compound: BaVSe4
Source: the Alexandria database
Functional: PBE
Structure: relaxed

## Properties
For the mass density, the calculation gives 5.5 g cm⁻³. The calculation puts the uncorrected formation energy at -0.91 eV/atom. The calculation puts the total magnetic moment at 0.878 μB per cell.

Cell lengths 15.252, 7.112, 5.681 Å; angles 90.00, 96.63, 90.00 degrees
Space group C2/m (No. 12)
Asymmetric unit:
Ba 0.199 0.000 0.231 x4
V 0.032 0.500 0.303 x4
Se 0.000 0.239 0.000 x4
Se 0.099 0.276 0.649 x8
Se 0.193 0.500 0.236 x4

***

Compound: BaV6Se8
Source: the Alexandria database
Functional: PBE
Structure: relaxed

## Properties
For the mass density, the calculation gives 5.5 g cm⁻³. The calculation puts the uncorrected formation energy at -0.84 eV/atom. The calculation puts the total magnetic moment at 23.666 μB per cell.

Cell lengths 9.6382, 9.6382, 12.0613 Å; angles 90.00, 90.00, 120.00 degrees
Space group R-3 (No. 148, hexagonal axes)
Asymmetric unit:
Ba 0.0000 0.0000 0.0000 x3
V 0.0134 0.1761 0.4071 x18
Se 0.0000 0.0000 0.2571 x6
Se 0.0171 0.3726 0.2533 x18